No. 1
VASP calculation (PBE-GGA) on a relaxed structure of Rb3CaCu.

```
5
Lattice="6.783 0.000 0.000 0.000 6.783 0.000 0.000 0.000 6.783" Properties=species:S:1:pos:R:3 pbc="T T T"
Rb 0.000 0.000 3.391
Rb 0.000 3.391 0.000
Rb 3.391 0.000 0.000
Ca 3.391 3.391 3.391
Cu 0.000 0.000 0.000
```

Calculated values
The magnetic moment is 0.00 Bohr magnetons per cell. Its formation enthalpy at 0 K is 0.38 eV/atom. As for the crystal system: cubic. The space-group type is Pm-3m, No. 221. The relative energy among the computed polymorphs comes out at 0 meV/atom.

=====

No. 2
VASP calculation (PBE-GGA) on a relaxed structure of PuAlInO6.

```
18
Lattice="5.225 0.000 0.000 -2.612 4.525 0.000 0.000 0.000 9.292" Properties=species:S:1:pos:R:3 pbc="T T T"
Pu 0.000 3.017 2.323
Pu 2.612 1.508 6.969
Al 0.000 3.017 6.969
Al 2.612 1.508 2.323
In 0.000 0.000 0.000
In 0.000 0.000 4.646
O -0.834 1.629 5.909
O -1.618 2.988 8.029
O 0.834 1.629 8.029
O -0.785 4.432 5.909
O 1.828 0.092 1.263
O 0.994 1.537 3.383
O 1.618 2.988 5.909
O 0.785 4.432 8.029
O 3.397 0.092 3.383
O 1.778 2.896 1.263
O 4.231 1.537 1.263
O 3.446 2.896 3.383
```

Calculated values
Its uncorrected formation energy is -2.28 eV per atom. The magnetic moment is 4.00 Bohr magnetons per cell. As for the crystal system: trigonal. The space-group type is P-31c, No. 163.

=====

No. 3
VASP calculation (PBE-GGA) on a relaxed structure of Ac6Sb3PbS2.

```
12
Lattice="10.151 -2.339 0.000 10.151 2.339 0.000 -2.130 0.000 9.076" Properties=species:S:1:pos:R:3 pbc="T T T"
Ac -0.422 0.000 2.310
Ac 5.794 0.000 3.858
Ac 4.798 0.000 8.253
Ac 13.373 0.000 0.823
Ac 12.378 0.000 5.217
Ac 18.594 0.000 6.766
Sb 1.595 0.000 7.514
Sb 9.086 0.000 4.538
Sb 16.576 0.000 1.562
Pb 10.151 0.000 0.000
S 2.750 0.000 3.086
S 15.422 0.000 5.989
```

Calculated values
Its uncorrected formation energy is -1.33 eV per atom. The magnetic moment is 0.00 Bohr magnetons per cell. As for the crystal system: monoclinic. The space-group type is C2/m, No. 12.

=====

No. 4
VASP calculation (PBE-GGA) on a relaxed structure of Li3TaBr.

```
5
Lattice="5.374 0.000 0.000 0.000 5.374 0.000 0.000 0.000 5.374" Properties=species:S:1:pos:R:3 pbc="T T T"
Li 0.000 0.000 2.687
Li 0.000 2.687 0.000
Li 2.687 0.000 0.000
Ta 0.000 0.000 0.000
Br 2.687 2.687 2.687
```

Calculated values
Its uncorrected formation energy is 1.06 eV per atom. The magnetic moment is 5.00 Bohr magnetons per cell. As for the crystal system: cubic. The space-group type is Pm-3m, No. 221. The relative energy among the computed polymorphs comes out at 501 meV/atom.

=====

No. 5
VASP calculation (PBE-GGA) on a relaxed structure of Tb3Y4ScSe8.

```
16
Lattice="4.069 2.349 6.644 -4.069 2.349 6.644 0.000 -4.698 6.644" Properties=species:S:1:pos:R:3 pbc="T T T"
Tb -2.034 -1.175 6.644
Tb -2.034 1.175 13.288
Tb 0.000 2.349 6.644
Y -4.069 0.000 9.966
Y -2.034 1.175 3.322
Y 2.034 1.175 3.322
Y 0.000 0.000 9.966
Sc 0.000 0.000 0.000
Se 0.000 -2.404 8.272
Se -2.082 1.202 8.272
Se -2.082 -1.202 11.660
Se 0.000 0.000 4.977
Se 0.000 0.000 14.955
Se 2.082 1.202 8.272
Se 2.082 -1.202 11.660
Se 0.000 2.404 11.660
```

Calculated values
Its uncorrected formation energy is -1.73 eV per atom. The magnetic moment is 0.00 Bohr magnetons per cell. As for the crystal system: trigonal. The space-group type is R-3m, No. 166.

=====

No. 6
VASP calculation (PBE-GGA) on a relaxed structure of CsCa2Pa2O7.

```
12
Lattice="-2.272 2.272 9.892 2.272 -2.272 9.892 2.272 2.272 -9.892" Properties=species:S:1:pos:R:3 pbc="T T T"
Cs 0.000 0.000 0.000
Ca 2.272 0.000 4.946
Ca 0.000 2.272 4.946
Pa 0.000 0.000 7.671
Pa 0.000 0.000 12.112
O 2.272 0.000 2.482
O 0.000 0.000 5.439
O 2.272 0.000 7.409
O 0.000 0.000 9.892
O 0.000 2.272 2.482
O 0.000 0.000 14.344
O 0.000 2.272 7.409
```

Calculated values
Its uncorrected formation energy is -3.12 eV per atom. The magnetic moment is 1.00 Bohr magnetons per cell. As for the crystal system: tetragonal. The space-group type is I4/mmm, No. 139.

=====

No. 7
VASP calculation (PBE-GGA) on a relaxed structure of ScV3Se.

```
5
Lattice="4.538 0.000 0.000 0.000 4.538 0.000 0.000 0.000 4.538" Properties=species:S:1:pos:R:3 pbc="T T T"
Sc 0.000 0.000 0.000
V 0.000 2.269 2.269
V 2.269 0.000 2.269
V 2.269 2.269 0.000
Se 2.269 2.269 2.269
```

Calculated values
Its uncorrected formation energy is 0.37 eV per atom. The magnetic moment is 2.10 Bohr magnetons per cell. As for the crystal system: cubic. The space-group type is Pm-3m, No. 221. The relative energy among the computed polymorphs comes out at 0 meV/atom.

=====

No. 8
VASP calculation (PBE-GGA) on a relaxed structure of Mg3Cr5.

```
16
Lattice="4.712 0.000 0.000 2.227 6.735 0.000 2.178 0.469 8.436" Properties=species:S:1:pos:R:3 pbc="T T T"
Mg 0.000 0.000 0.000
Mg 2.356 4.433 2.047
Mg 4.484 6.780 5.548
Mg 4.544 6.388 2.346
Mg 4.659 1.895 5.676
Mg 4.665 3.721 0.601
Cr 3.356 4.261 4.779
Cr 2.432 2.190 3.745
Cr 4.423 4.323 7.337
Cr 2.320 1.932 0.540
Cr 4.801 3.660 3.322
Cr 5.885 4.402 5.108
Cr 6.849 5.820 6.841
Cr 4.649 1.525 2.417
Cr 6.816 6.436 3.961
Cr 7.027 2.934 6.727
```

Calculated values
The magnetic moment is 9.10 Bohr magnetons per cell. Its formation enthalpy at 0 K is 0.50 eV/atom. As for the crystal system: triclinic. The space-group type is P1, No. 1. The relative energy among the computed polymorphs comes out at 0 meV/atom.

=====

No. 9
VASP calculation (PBE-GGA) on a relaxed structure of ScInAu2.

```
12
Lattice="3.661 0.000 0.000 -1.831 3.171 0.000 0.000 0.000 23.114" Properties=species:S:1:pos:R:3 pbc="T T T"
Sc 0.000 0.000 0.000
Sc 0.000 2.114 15.409
Sc 1.831 1.057 7.705
In 0.000 0.000 3.854
In 0.000 2.114 19.263
In 1.831 1.057 11.558
Au 0.000 0.000 9.542
Au 0.000 0.000 13.564
Au 0.000 2.114 1.837
Au 0.000 2.114 5.859
Au 1.831 1.057 17.246
Au 1.831 1.057 21.269
```

Calculated values
The magnetic moment is 0.00 Bohr magnetons per cell. Its formation enthalpy at 0 K is -0.43 eV/atom. As for the crystal system: trigonal. The space-group type is R3m, No. 160.

=====

No. 10
VASP calculation (PBE-GGA) on a relaxed structure of Li2OsBr.

```
8
Lattice="3.110 0.000 0.000 0.000 4.848 0.000 0.000 0.000 8.348" Properties=species:S:1:pos:R:3 pbc="T T T"
Li 0.000 0.000 2.023
Li 0.000 0.000 6.324
Li 1.555 2.424 2.023
Li 1.555 2.424 6.324
Os 0.000 2.424 4.174
Os 1.555 0.000 4.174
Br 0.000 2.424 0.000
Br 1.555 0.000 0.000
```

Calculated values
Its uncorrected formation energy is 0.08 eV per atom. The magnetic moment is 0.00 Bohr magnetons per cell. As for the crystal system: orthorhombic. The space-group type is Cmmm, No. 65. The relative energy among the computed polymorphs comes out at 57 meV/atom.

=====

magnetic moment of number 8 (Mg3Cr5)? 9.10 Bohr magnetons per cell

=====

Which of these has the highest magnetic moment? Mg3Cr5